Entry from the Alexandria database: a relaxed structure of NaAl3Au9 (PBE-GGA).

Geometry as POSCAR:
```
NaAl3Au9
1.0
2.764 -6.676 0.000
2.764 6.676 0.000
-2.412 0.000 6.470
Na Al Au
1 3 9
Cartesian
0.000 0.000 0.000
1.382 3.338 0.000
1.382 -3.338 0.000
1.558 0.000 3.235
-1.206 0.000 3.235
0.352 4.366 4.404
0.426 1.473 5.063
2.764 4.366 2.066
2.690 1.473 1.407
0.426 -1.473 5.063
0.352 -4.366 4.404
2.690 -1.473 1.407
2.764 -4.366 2.066
```

Computed properties:
* formation enthalpy at 0 K: -6.68 kcal/mol of atoms
* calculated total energy: -3.524 eV/atom
* size of the total moment: 0.00 μB/f.u.

***

Entry from the Alexandria database: a relaxed structure of NaAl4Au2 (PBE-GGA).

Geometry as POSCAR:
```
NaAl4Au2
1.0
16.701 0.000 0.000
0.000 4.339 0.000
0.000 0.000 7.189
Na Al Au
4 16 8
Cartesian
2.414 1.085 0.351
5.937 3.254 3.946
10.764 1.085 3.244
14.288 3.254 6.838
0.591 3.254 6.308
1.058 1.085 3.326
3.136 3.254 2.613
3.171 3.254 5.481
5.180 1.085 1.886
5.215 1.085 6.208
7.292 3.254 6.921
7.759 1.085 2.714
8.942 3.254 4.476
9.409 1.085 0.268
11.486 3.254 0.982
11.521 3.254 5.303
13.531 1.085 1.708
13.565 1.085 4.576
15.643 3.254 3.863
16.110 1.085 0.881
0.608 3.254 1.816
3.607 1.085 4.072
4.743 3.254 0.478
7.742 1.085 5.411
8.959 3.254 1.778
11.958 1.085 6.712
13.094 3.254 3.117
16.093 1.085 5.373
```

Computed properties:
* formation enthalpy at 0 K: -7.37 kcal/mol of atoms
* calculated total energy: -3.583 eV/atom
* size of the total moment: 0.00 μB/f.u.

***

Entry from the Alexandria database: a relaxed structure of Na3AlAu3 (PBE-GGA).

Geometry as POSCAR:
```
Na3AlAu3
1.0
5.417 -2.214 0.000
5.417 2.214 0.000
-5.407 0.000 13.812
Na Al Au
6 2 6
Cartesian
-1.126 0.000 3.813
-1.222 0.000 7.978
-0.785 0.000 12.042
6.213 0.000 1.769
6.650 0.000 5.834
6.554 0.000 9.998
3.035 0.000 1.148
2.393 0.000 12.664
-4.185 0.000 13.130
2.085 0.000 3.462
1.859 0.000 8.003
3.569 0.000 5.808
3.343 0.000 10.349
9.613 0.000 0.682
```

Computed properties:
* formation enthalpy at 0 K: -7.36 kcal/mol of atoms
* calculated total energy: -2.824 eV/atom
* size of the total moment: 0.00 μB/f.u.

***

Entry from the Alexandria database: a relaxed structure of Na2AlAu2 (PBE-GGA).

Geometry as POSCAR:
```
Na2AlAu2
1.0
-3.561 5.902 2.973
3.561 -5.902 2.973
3.561 5.902 -2.973
Na Al Au
4 2 4
Cartesian
1.016 1.613 0.000
1.016 -1.613 2.973
2.545 7.515 0.000
2.545 4.290 2.973
3.561 0.000 1.486
0.000 5.902 1.486
5.075 1.384 0.000
1.514 4.518 0.000
2.047 1.384 2.973
-1.514 4.518 2.973
```

Computed properties:
* formation enthalpy at 0 K: -5.02 kcal/mol of atoms
* calculated total energy: -2.805 eV/atom
* size of the total moment: 0.00 μB/f.u.
* E above lowest polymorph: 107.5 meV per atom